(1)
Compound: Ba2LiRh
Source: the Alexandria database
Functional: PBEsol
Structure: relaxed

Unit cell a=4.450 b=4.452 c=8.351 alpha=105.38 beta=90.00 gamma=119.98
Atoms (fractional coordinates):
Rh 0.208 0.417 0.625
Ba 0.792 0.583 0.374
Ba 0.958 0.916 0.877
Li 0.542 0.084 0.625

Values from the calculation:
As for the space group: Cm (8). The density of states at the Fermi level is 1.5 states/eV/f.u. The formation energy is -0.087 eV per atom.

(2)
Compound: ScAgSb2
Source: the Alexandria database
Functional: PBEsol
Structure: relaxed

Unit cell a=3.773 b=3.773 c=6.172 alpha=90.00 beta=90.00 gamma=90.00
Atoms (fractional coordinates):
Sc 0.500 0.500 0.000
Ag 0.500 0.500 0.500
Sb 0.000 0.000 0.249
Sb 0.000 0.000 0.751

Values from the calculation:
As for the space group: P4/mmm (123). The density of states at the Fermi level is 2.4 states/eV/f.u. As for the uncorrected formation energy: -1.3 eV/f.u.

(3)
Compound: NaIn3
Source: the Alexandria database
Functional: PBEsol
Structure: relaxed

Unit cell a=5.393 b=6.489 c=6.489 alpha=120.00 beta=90.00 gamma=90.00
Atoms (fractional coordinates):
In 0.750 0.836 0.672
In 0.250 0.164 0.836
In 0.250 0.164 0.328
In 0.250 0.672 0.836
In 0.750 0.328 0.164
In 0.750 0.836 0.164
Na 0.250 0.667 0.333
Na 0.750 0.333 0.667

Values from the calculation:
As for the space group: P6_3/mmc (194). The density of states at the Fermi level is 1.8 states/eV/f.u. The formation energy is -0.092 eV per atom.

(4)
Compound: Ti3TePb4O13
Source: the Alexandria database
Functional: PBEsol
Structure: relaxed

Unit cell a=7.287 b=7.287 c=7.327 alpha=60.18 beta=60.18 gamma=60.00
Atoms (fractional coordinates):
Ti 0.501 0.998 0.000
Ti 0.501 0.501 0.000
Ti 0.998 0.501 0.000
O 0.433 0.813 0.321
O 0.439 0.816 0.929
O 0.571 0.571 0.674
O 0.816 0.439 0.929
O 0.816 0.816 0.929
O 0.571 0.185 0.674
O 0.185 0.571 0.674
O 0.180 0.180 0.073
O 0.567 0.180 0.073
O 0.813 0.433 0.321
O 0.433 0.433 0.321
O 0.873 0.873 0.380
O 0.180 0.567 0.073
Pb 0.004 0.004 0.502
Pb 0.004 0.491 0.502
Pb 0.001 0.001 0.996
Pb 0.491 0.004 0.502
Te 0.500 0.500 0.499

Values from the calculation:
As for the space group: R3m (160). As for the uncorrected formation energy: -41.9 eV/f.u.

(5)
Compound: CdPbAu2
Source: the Alexandria database
Functional: PBEsol
Structure: relaxed

Unit cell a=3.220 b=3.553 c=7.214 alpha=90.00 beta=90.00 gamma=90.00
Atoms (fractional coordinates):
Pb 0.500 0.500 0.500
Au 0.000 0.000 0.781
Au 0.000 0.000 0.219
Cd 0.500 0.500 0.000

Values from the calculation:
As for the space group: Pmmm (47). The density of states at the Fermi level is 1.2 states/eV/f.u. The formation energy is -0.056 eV per atom.

(6)
Compound: Zr17Cd12
Source: the Alexandria database
Functional: PBEsol
Structure: relaxed

Unit cell a=9.235 b=9.235 c=9.235 alpha=109.47 beta=109.47 gamma=109.47
Atoms (fractional coordinates):
Zr 0.719 0.404 0.404
Zr 0.404 0.719 0.404
Zr 0.315 0.596 0.000
Zr 0.646 0.646 0.646
Zr 0.685 0.685 0.281
Zr 0.000 0.000 0.354
Zr 0.000 0.000 0.000
Zr 0.281 0.685 0.685
Zr 0.685 0.281 0.685
Zr 0.315 0.000 0.596
Zr 0.000 0.596 0.315
Zr 0.596 0.000 0.315
Zr 0.000 0.315 0.596
Zr 0.404 0.404 0.719
Zr 0.000 0.354 0.000
Zr 0.354 0.000 0.000
Zr 0.596 0.315 0.000
Cd 0.000 0.631 0.812
Cd 0.188 0.188 0.819
Cd 0.181 0.369 0.369
Cd 0.369 0.181 0.369
Cd 0.369 0.369 0.181
Cd 0.631 0.812 0.000
Cd 0.188 0.819 0.188
Cd 0.000 0.812 0.631
Cd 0.812 0.631 0.000
Cd 0.631 0.000 0.812
Cd 0.812 0.000 0.631
Cd 0.819 0.188 0.188

Values from the calculation:
As for the space group: I-43m (217). The density of states at the Fermi level is 31.9 states/eV/f.u. The formation energy is -0.056 eV per atom.

(7)
Compound: DyMn2Ge2
Source: the Alexandria database
Functional: PBEsol
Structure: relaxed

Unit cell a=3.874 b=3.874 c=5.982 alpha=108.89 beta=108.89 gamma=90.00
Atoms (fractional coordinates):
Ge 0.619 0.619 0.239
Ge 0.381 0.381 0.761
Mn 0.250 0.750 0.500
Mn 0.750 0.250 0.500
Dy 0.000 0.000 0.000

Values from the calculation:
As for the space group: I4/mmm (139). The density of states at the Fermi level is 3.0 states/eV/f.u. The formation energy is -0.487 eV per atom.

(8)
Compound: SiNiH12O6F6
Source: the Alexandria database
Functional: PBEsol
Structure: relaxed

Unit cell a=6.198 b=6.198 c=6.198 alpha=96.59 beta=96.59 gamma=96.59
Atoms (fractional coordinates):
H 0.817 0.205 0.306
H 0.205 0.306 0.817
H 0.408 0.065 0.189
H 0.795 0.694 0.183
H 0.694 0.183 0.795
H 0.935 0.811 0.592
H 0.065 0.189 0.408
H 0.183 0.795 0.694
H 0.811 0.592 0.935
H 0.306 0.817 0.205
H 0.592 0.935 0.811
H 0.189 0.408 0.065
F 0.431 0.693 0.690
F 0.690 0.431 0.693
F 0.310 0.569 0.307
F 0.307 0.310 0.569
F 0.569 0.307 0.310
F 0.693 0.690 0.431
O 0.061 0.885 0.696
O 0.115 0.304 0.939
O 0.696 0.061 0.885
O 0.304 0.939 0.115
O 0.939 0.115 0.304
O 0.885 0.696 0.061
Si 0.500 0.500 0.500
Ni 0.000 0.000 0.000

Values from the calculation:
As for the space group: R-3 (148). The density of states at the Fermi level is 0.0 states/eV/f.u.

(9)
Compound: MnRuW
Source: the Alexandria database
Functional: PBEsol
Structure: relaxed

Unit cell a=4.131 b=4.131 c=4.131 alpha=60.00 beta=60.00 gamma=60.00
Atoms (fractional coordinates):
Mn 0.500 0.500 0.500
W 0.000 0.000 0.000
Ru 0.250 0.250 0.250

Values from the calculation:
As for the space group: F-43m (216). The density of states at the Fermi level is 1.3 states/eV/f.u. The formation energy is 0.793 eV per atom.

(10)
Compound: Re6Pb6O19
Source: the Alexandria database
Functional: PBEsol
Structure: relaxed

Unit cell a=9.309 b=9.309 c=9.310 alpha=90.00 beta=90.00 gamma=90.00
Atoms (fractional coordinates):
Re 0.249 0.500 0.631
Re 0.249 0.869 0.500
Re 0.749 0.000 0.869
Re 0.118 0.500 0.000
Re 0.249 0.131 0.500
Re 0.618 0.000 0.500
Re 0.249 0.500 0.369
Re 0.749 0.631 0.000
Re 0.749 0.000 0.131
Re 0.880 0.000 0.500
Re 0.749 0.369 0.000
Re 0.380 0.500 0.000
O 0.077 0.500 0.500
O 0.897 0.999 0.286
O 0.250 0.714 0.647
O 0.748 0.786 0.852
O 0.036 0.147 0.501
O 0.249 0.000 0.328
O 0.750 0.786 0.147
O 0.248 0.714 0.352
O 0.748 0.214 0.148
O 0.749 0.172 0.500
O 0.036 0.853 0.499
O 0.249 0.328 0.000
O 0.249 0.000 0.672
O 0.750 0.214 0.853
O 0.250 0.286 0.353
O 0.602 0.001 0.286
O 0.749 0.500 0.172
O 0.463 0.148 0.499
O 0.249 0.000 0.000
O 0.577 0.000 0.000
O 0.921 0.000 0.000
O 0.248 0.286 0.648
O 0.421 0.500 0.500
O 0.102 0.499 0.786
O 0.749 0.500 0.500
O 0.963 0.352 0.999
O 0.536 0.647 0.999
O 0.397 0.499 0.214
O 0.602 0.999 0.714
O 0.536 0.353 0.001
O 0.249 0.672 0.000
O 0.749 0.500 0.828
O 0.397 0.501 0.786
O 0.963 0.648 0.001
O 0.102 0.501 0.214
O 0.897 0.001 0.714
O 0.463 0.852 0.501
O 0.749 0.828 0.500
Pb 0.603 0.354 0.646
Pb 0.603 0.646 0.354
Pb 0.998 0.251 0.749
Pb 0.895 0.646 0.646
Pb 0.103 0.854 0.854
Pb 0.395 0.146 0.854
Pb 0.103 0.146 0.146
Pb 0.395 0.854 0.146
Pb 0.498 0.249 0.249
Pb 0.998 0.749 0.251
Pb 0.895 0.354 0.354
Pb 0.498 0.751 0.751

Values from the calculation:
As for the space group: Pnn2 (34). The density of states at the Fermi level is 3.9 states/eV/f.u. As for the uncorrected formation energy: -42.5 eV/f.u.

(11)
Compound: Na3IrF6
Source: the Alexandria database
Functional: PBEsol
Structure: relaxed

Unit cell a=5.844 b=5.844 c=5.844 alpha=60.00 beta=60.00 gamma=60.00
Atoms (fractional coordinates):
F 0.759 0.241 0.241
F 0.241 0.241 0.759
F 0.241 0.759 0.759
F 0.241 0.759 0.241
F 0.759 0.759 0.241
F 0.759 0.241 0.759
Na 0.500 0.500 0.500
Na 0.250 0.250 0.250
Na 0.750 0.750 0.750
Ir 0.000 0.000 0.000

Values from the calculation:
As for the space group: Fm-3m (225). The density of states at the Fermi level is 0.0 states/eV/f.u. As for the uncorrected formation energy: -21.1 eV/f.u.

(12)
Compound: LiCuP3O9
Source: the Alexandria database
Functional: PBEsol
Structure: relaxed

Unit cell a=7.015 b=8.954 c=12.492 alpha=90.00 beta=90.00 gamma=90.00
Atoms (fractional coordinates):
P 0.461 0.740 0.162
P 0.250 0.697 0.971
P 0.039 0.740 0.162
P 0.539 0.260 0.838
P 0.961 0.260 0.838
P 0.750 0.303 0.029
P 0.750 0.803 0.471
P 0.461 0.240 0.338
P 0.250 0.197 0.529
P 0.539 0.760 0.662
P 0.961 0.760 0.662
P 0.039 0.240 0.338
Cu 0.250 0.996 0.776
Cu 0.750 0.004 0.224
Cu 0.750 0.504 0.276
Cu 0.250 0.496 0.724
O 0.459 0.363 0.756
O 0.934 0.884 0.137
O 0.750 0.907 0.380
O 0.566 0.384 0.363
O 0.750 0.637 0.458
O 0.250 0.786 0.200
O 0.250 0.093 0.620
O 0.541 0.637 0.244
O 0.434 0.116 0.863
O 0.573 0.846 0.551
O 0.750 0.214 0.800
O 0.459 0.863 0.744
O 0.959 0.637 0.244
O 0.427 0.654 0.051
O 0.750 0.137 0.042
O 0.066 0.116 0.863
O 0.573 0.346 0.949
O 0.566 0.884 0.137
O 0.927 0.846 0.551
O 0.927 0.346 0.949
O 0.073 0.154 0.449
O 0.250 0.863 0.958
O 0.750 0.407 0.120
O 0.959 0.137 0.256
O 0.073 0.654 0.051
O 0.541 0.137 0.256
O 0.041 0.863 0.744
O 0.250 0.286 0.300
O 0.750 0.714 0.700
O 0.934 0.384 0.363
O 0.434 0.616 0.637
O 0.041 0.363 0.756
O 0.250 0.363 0.542
O 0.250 0.593 0.880
O 0.066 0.616 0.637
O 0.427 0.154 0.449
Li 0.250 0.064 0.977
Li 0.750 0.936 0.023
Li 0.750 0.436 0.477
Li 0.250 0.564 0.523

Values from the calculation:
As for the space group: Pnma (62). The density of states at the Fermi level is 0.4 states/eV/f.u. For the offset from the most stable computed form, the calculation gives 0.30 eV per formula unit. As for the uncorrected formation energy: -26.6 eV/f.u.

(13)
Compound: YReGe3
Source: the Alexandria database
Functional: PBEsol
Structure: relaxed

Unit cell a=4.785 b=4.785 c=4.785 alpha=90.00 beta=90.00 gamma=90.00
Atoms (fractional coordinates):
Re 0.000 0.000 0.000
Ge 0.500 0.000 0.000
Ge 0.000 0.000 0.500
Ge 0.000 0.500 0.000
Y 0.500 0.500 0.500

Values from the calculation:
As for the space group: Pm-3m (221). The density of states at the Fermi level is 4.7 states/eV/f.u. The formation energy is 0.197 eV per atom.

(14)
Compound: AuCl3
Source: the Alexandria database
Functional: PBEsol
Structure: relaxed

Unit cell a=3.356 b=8.748 c=8.748 alpha=120.00 beta=90.00 gamma=90.00
Atoms (fractional coordinates):
Cl 0.250 0.790 0.579
Cl 0.250 0.790 0.210
Cl 0.750 0.210 0.790
Cl 0.750 0.210 0.421
Cl 0.250 0.421 0.210
Cl 0.750 0.579 0.790
Au 0.750 0.667 0.333
Au 0.250 0.333 0.667

Values from the calculation:
As for the space group: P6_3/mmc (194). The density of states at the Fermi level is 4.6 states/eV/f.u. As for the uncorrected formation energy: 0.5 eV/f.u.

(15)
Compound: LaFeTc2
Source: the Alexandria database
Functional: PBEsol
Structure: relaxed

Unit cell a=3.060 b=3.060 c=7.256 alpha=90.00 beta=90.00 gamma=90.00
Atoms (fractional coordinates):
Tc 0.000 0.000 0.172
Tc 0.000 0.000 0.828
Fe 0.500 0.500 0.000
La 0.500 0.500 0.500

Values from the calculation:
As for the space group: P4/mmm (123). The density of states at the Fermi level is 3.9 states/eV/f.u. For the offset from the most stable computed form, the calculation gives 0.00 eV per formula unit. The formation energy is 0.377 eV per atom.

(16)
Compound: LiOs2Au
Source: the Alexandria database
Functional: PBEsol
Structure: relaxed

Unit cell a=2.794 b=2.794 c=7.301 alpha=90.00 beta=90.00 gamma=90.00
Atoms (fractional coordinates):
Os 0.000 0.000 0.005
Os 0.500 0.500 0.226
Li 0.500 0.500 0.751
Au 0.000 0.000 0.517

Values from the calculation:
As for the space group: P4mm (99). The density of states at the Fermi level is 3.1 states/eV/f.u. For the offset from the most stable computed form, the calculation gives 0.00 eV per formula unit. The formation energy is 0.187 eV per atom.

(17)
Compound: Sb2RhBr
Source: the Alexandria database
Functional: PBEsol
Structure: relaxed

Unit cell a=3.330 b=3.321 c=8.971 alpha=90.00 beta=90.00 gamma=90.00
Atoms (fractional coordinates):
Sb 0.500 0.500 0.225
Sb 0.000 0.000 0.812
Br 0.000 0.000 0.526
Rh 0.500 0.500 0.936

Values from the calculation:
As for the space group: P4mm (99). The density of states at the Fermi level is 2.6 states/eV/f.u. As for the uncorrected formation energy: -0.1 eV/f.u.

(18)
Compound: LaAsO4
Source: the Alexandria database
Functional: PBEsol
Structure: relaxed

Unit cell a=6.753 b=7.011 c=7.200 alpha=90.00 beta=90.00 gamma=104.83
Atoms (fractional coordinates):
La 0.599 0.783 0.154
La 0.401 0.217 0.846
La 0.099 0.283 0.346
La 0.901 0.717 0.654
O 0.928 0.753 0.995
O 0.170 0.516 0.609
O 0.994 0.892 0.343
O 0.830 0.484 0.391
O 0.777 0.383 0.785
O 0.428 0.253 0.505
O 0.006 0.108 0.657
O 0.330 0.984 0.109
O 0.277 0.883 0.715
O 0.506 0.608 0.843
O 0.223 0.617 0.215
O 0.670 0.016 0.891
O 0.723 0.117 0.285
O 0.072 0.247 0.005
O 0.494 0.392 0.157
O 0.572 0.747 0.495
As 0.387 0.696 0.663
As 0.887 0.196 0.837
As 0.613 0.304 0.337
As 0.113 0.804 0.163

Values from the calculation:
As for the space group: P2_1/c (14). The density of states at the Fermi level is 0.0 states/eV/f.u. As for the uncorrected formation energy: -14.3 eV/f.u.

Values for E, eV per cell, ordered as above
-14.8, -20.3, -21.4, -154.6, -13.3, -170.5, -36.8, -135.5, -31.4, -492.5, -46.7, -390.1, -34.0, -18.8, -35.3, -29.6, -19.2, -183.0